No. 1
Compound: SrLaCuNi
Source: Alexandria via LeMat-Bulk
Functional: PBE
Structure: optimized geometry

Cell lengths 7.263, 7.263, 7.263 Å; angles 90.00, 90.00, 90.00 degrees
Space group F-43m (No. 216)
Symmetry-distinct sites (fractional):
Sr 0.000 0.000 0.000 [4 per cell]
La 0.000 0.000 0.500 [4 per cell]
Cu 0.250 0.250 0.750 [4 per cell]
Ni 0.250 0.250 0.250 [4 per cell]

Properties
Calculated density (Mg/m³): 6.046
ΔH_f (0 K) (eV per formula unit): -0.2
V (Å³/atom): 23.9

No. 2
Compound: LaTbCuNi
Source: Alexandria via LeMat-Bulk
Functional: PBE
Structure: optimized geometry

Cell lengths 4.424, 3.799, 10.768 Å; angles 90.00, 90.00, 90.00 degrees
Space group Amm2 (No. 38)
Symmetry-distinct sites (fractional):
La 0.000 0.000 0.000 [2 per cell]
Tb 0.500 0.000 0.273 [2 per cell]
Cu 0.000 0.000 0.713 [2 per cell]
Ni 0.500 0.000 0.576 [2 per cell]

Properties
Calculated density (Mg/m³): 7.708
ΔH_f (0 K) (eV per formula unit): -1.2
V (Å³/atom): 22.6
Energy above the lowest structure with this stoichiometry (meV per atom): 0

No. 3
Compound: LaTbCuNi
Source: Alexandria via LeMat-Bulk
Functional: PBE
Structure: optimized geometry

Cell lengths 7.051, 7.051, 7.051 Å; angles 90.00, 90.00, 90.00 degrees
Space group F-43m (No. 216)
Symmetry-distinct sites (fractional):
La 0.000 0.000 0.000 [4 per cell]
Tb 0.000 0.000 0.500 [4 per cell]
Cu 0.250 0.250 0.250 [4 per cell]
Ni 0.250 0.250 0.750 [4 per cell]

Properties
Calculated density (Mg/m³): 7.958
ΔH_f (0 K) (eV per formula unit): -0.9
V (Å³/atom): 21.9
Energy above the lowest structure with this stoichiometry (meV per atom): 59

No. 4
Compound: LaCu2NiTe
Source: Alexandria via LeMat-Bulk
Functional: PBE
Structure: optimized geometry

Cell lengths 4.647, 4.647, 5.107 Å; angles 90.00, 90.00, 90.00 degrees
Space group P4/mmm (No. 123)
Symmetry-distinct sites (fractional):
La 0.000 0.000 0.000 [1 per cell]
Cu 0.000 0.500 0.500 [2 per cell]
Ni 0.000 0.000 0.500 [1 per cell]
Te 0.500 0.500 0.000 [1 per cell]

Properties
Calculated density (Mg/m³): 6.811
Formation energy without anion corrections (eV/f.u.): -0.463
V (Å³/atom): 22.1